1.
# LaIn12Rh6 (PBE, relaxed)
data_LaIn12Rh6
_space_group_name_H-M_alt 'R -3 m'
_space_group_IT_number 166
_space_group_name_Hall '-R 3 2"'
_cell_length_a 12.4459
_cell_length_b 12.4459
_cell_length_c 9.2158
_cell_angle_alpha 90.00
_cell_angle_beta 90.00
_cell_angle_gamma 120.00
loop_
_atom_site_label
_atom_site_fract_x
_atom_site_fract_y
_atom_site_fract_z
La1 0.0000 0.0000 0.0000
In1 0.0000 0.3805 0.5000
In2 0.0870 0.1741 0.3255
Rh1 0.0509 0.5254 0.2556
# * energy of formation from the pure elements: -0.32 eV/atom

---

2.
# La6InRh2 (PBE, relaxed)
data_La6InRh2
_space_group_name_H-M_alt 'C 1 2/m 1'
_space_group_IT_number 12
_space_group_name_Hall '-C 2y'
_cell_length_a 11.2185
_cell_length_b 5.0821
_cell_length_c 9.3817
_cell_angle_alpha 90.00
_cell_angle_beta 95.29
_cell_angle_gamma 90.00
loop_
_atom_site_label
_atom_site_fract_x
_atom_site_fract_y
_atom_site_fract_z
La1 0.0879 0.0000 0.3597
La2 0.1057 0.5000 0.6744
La3 0.1983 0.5000 0.1067
In1 0.0000 0.0000 0.0000
Rh1 0.2435 0.5000 0.3859
# * energy of formation from the pure elements: -0.47 eV/atom
# * energy above the lowest structure with this stoichiometry: 0 meV/atom

---

3.
# La2In8Rh (PBE, relaxed)
data_La2In8Rh
_space_group_name_H-M_alt 'P 4/m m m'
_space_group_IT_number 123
_space_group_name_Hall '-P 4 2'
_cell_length_a 4.7465
_cell_length_b 4.7465
_cell_length_c 12.4956
_cell_angle_alpha 90.00
_cell_angle_beta 90.00
_cell_angle_gamma 90.00
loop_
_atom_site_label
_atom_site_fract_x
_atom_site_fract_y
_atom_site_fract_z
La1 0.0000 0.0000 0.1941
In1 0.0000 0.5000 0.0000
In2 0.0000 0.5000 0.3817
In3 0.5000 0.5000 0.1922
Rh1 0.0000 0.0000 0.5000
# * energy of formation from the pure elements: -0.47 eV/atom

---

4.
# La6InRh2 (PBE, relaxed)
data_La6InRh2
_space_group_name_H-M_alt 'C 1 2/m 1'
_space_group_IT_number 12
_space_group_name_Hall '-C 2y'
_cell_length_a 11.9293
_cell_length_b 5.6857
_cell_length_c 9.6712
_cell_angle_alpha 90.00
_cell_angle_beta 125.91
_cell_angle_gamma 90.00
loop_
_atom_site_label
_atom_site_fract_x
_atom_site_fract_y
_atom_site_fract_z
La1 0.0253 0.0000 0.1724
La2 0.1286 0.5000 0.4611
La3 0.2011 0.5000 0.0928
In1 0.0000 0.0000 0.5000
Rh1 0.1914 0.5000 0.7875
# * energy of formation from the pure elements: -0.40 eV/atom
# * energy above the lowest structure with this stoichiometry: 64 meV/atom

---

5.
# LaIn3Rh (PBE, relaxed)
data_LaIn3Rh
_space_group_name_H-M_alt 'P m -3 m'
_space_group_IT_number 221
_space_group_name_Hall '-P 4 2 3'
_cell_length_a 5.1139
_cell_length_b 5.1139
_cell_length_c 5.1139
_cell_angle_alpha 90.00
_cell_angle_beta 90.00
_cell_angle_gamma 90.00
loop_
_atom_site_label
_atom_site_fract_x
_atom_site_fract_y
_atom_site_fract_z
La1 0.0000 0.0000 0.0000
In1 0.0000 0.5000 0.5000
Rh1 0.5000 0.5000 0.5000
# * energy of formation from the pure elements: -0.34 eV/atom
# * energy above the lowest structure with this stoichiometry: 194 meV/atom

---

6.
# La11In9Rh4 (PBE, relaxed)
data_La11In9Rh4
_space_group_name_H-M_alt 'C m m m'
_space_group_IT_number 65
_space_group_name_Hall '-C 2 2'
_cell_length_a 15.1926
_cell_length_b 22.5813
_cell_length_c 3.8984
_cell_angle_alpha 90.00
_cell_angle_beta 90.00
_cell_angle_gamma 90.00
loop_
_atom_site_label
_atom_site_fract_x
_atom_site_fract_y
_atom_site_fract_z
La1 0.0000 0.0000 0.0000
La2 0.0000 0.1608 0.0000
La3 0.0000 0.3746 0.0000
La4 0.1864 0.5000 0.0000
La5 0.2477 0.1703 0.0000
In1 0.0000 0.5000 0.5000
In2 0.1005 0.2642 0.5000
In3 0.1501 0.0691 0.5000
Rh1 0.1558 0.3969 0.5000
# * energy of formation from the pure elements: -0.66 eV/atom

---

| no. | magnetization (μB per atom) |
| --- | --- |
| 1 | 0.00 |
| 2 | 0.00 |
| 3 | 0.00 |
| 4 | 0.00 |
| 5 | 0.00 |
| 6 | 0.00 |